[1]
Compound: Er6Te3AsS2
Source: the Alexandria database
Functional: GGA-PBE
Structure: optimized geometry

a = 7.056 Å, b = 7.056 Å, c = 7.337 Å
α = 99.25°, β = 99.25°, γ = 119.95°
Element x y z (fractional)
Er 0.931 0.592 0.793
Er 0.729 0.729 0.205
Er 0.069 0.408 0.207
Er 0.592 0.931 0.793
Er 0.271 0.271 0.795
Er 0.408 0.069 0.207
Te 0.165 0.835 0.500
Te 0.835 0.165 0.500
Te 0.500 0.500 0.500
As 0.000 0.000 0.000
S 0.333 0.667 0.000
S 0.667 0.333 0.000

Computed properties:
The uncorrected formation energy is -1555 meV per atom.

***

[2]
Compound: Pr3SmTc
Source: the Alexandria database
Functional: GGA-PBE
Structure: optimized geometry

a = 5.563 Å, b = 5.563 Å, c = 5.563 Å
α = 90.00°, β = 90.00°, γ = 90.00°
Element x y z (fractional)
Pr 0.000 0.500 0.000
Pr 0.000 0.000 0.500
Pr 0.500 0.000 0.000
Tc 0.000 0.000 0.000
Sm 0.500 0.500 0.500

Computed properties:
Its formation energy is 0.22 eV/atom. For the energy above the most stable polymorph in this dataset, the calculation gives 73 meV/atom.

***

[3]
Compound: TbIn3Ru
Source: the Alexandria database
Functional: GGA-PBE
Structure: optimized geometry

a = 6.882 Å, b = 6.882 Å, c = 6.882 Å
α = 90.00°, β = 90.00°, γ = 90.00°
Element x y z (fractional)
Tb 0.000 0.500 0.500
Tb 0.500 0.000 0.500
Tb 0.500 0.500 0.000
In 0.500 0.500 0.500
In 0.219 0.219 0.219
In 0.781 0.781 0.219
In 0.781 0.219 0.781
In 0.219 0.781 0.781
In 0.219 0.219 0.781
In 0.781 0.781 0.781
In 0.219 0.781 0.219
In 0.781 0.219 0.219
Ru 0.500 0.000 0.000
Ru 0.000 0.500 0.000
Ru 0.000 0.000 0.500

Computed properties:
Its formation energy is -0.32 eV/atom. For the energy above the most stable polymorph in this dataset, the calculation gives 0 meV/atom.

***

[4]
Compound: Ho6In2Pb
Source: the Alexandria database
Functional: GGA-PBE
Structure: optimized geometry

a = 6.067 Å, b = 9.075 Å, c = 9.691 Å
α = 90.00°, β = 84.97°, γ = 90.00°
Element x y z (fractional)
Ho 0.897 0.970 0.190
Ho 0.903 0.664 0.564
Ho 0.936 0.682 0.935
Ho 0.564 0.182 0.565
Ho 0.597 0.164 0.936
Ho 0.603 0.470 0.310
Ho 0.103 0.030 0.810
Ho 0.097 0.336 0.436
Ho 0.064 0.318 0.065
Ho 0.436 0.818 0.435
Ho 0.403 0.836 0.064
Ho 0.397 0.530 0.690
In 0.922 0.372 0.754
In 0.578 0.872 0.746
In 0.422 0.128 0.254
In 0.078 0.628 0.246
Pb 0.500 0.500 0.000
Pb 0.000 0.000 0.500

Computed properties:
Its formation energy is -0.24 eV/atom.

***

[5]
Compound: Hg2MoW
Source: the Alexandria database
Functional: GGA-PBE
Structure: optimized geometry

a = 2.933 Å, b = 5.101 Å, c = 5.923 Å
α = 55.20°, β = 90.00°, γ = 90.00°
Element x y z (fractional)
Hg 0.000 0.000 0.000
Hg 0.500 0.500 0.000
Mo 0.500 0.500 0.500
W 0.000 0.000 0.500

Computed properties:
Its formation energy is 0.75 eV/atom. For the energy above the most stable polymorph in this dataset, the calculation gives 307 meV/atom.

***

[6]
Compound: ZrTa2Rh
Source: the Alexandria database
Functional: GGA-PBE
Structure: optimized geometry

a = 3.201 Å, b = 3.201 Å, c = 7.159 Å
α = 90.00°, β = 90.00°, γ = 89.99°
Element x y z (fractional)
Rh 0.500 0.500 0.750
Ta 0.000 0.000 0.975
Ta 0.000 0.000 0.525
Zr 0.500 0.500 0.250

Computed properties:
Its formation energy is -0.17 eV/atom.

***

[7]
Compound: Tl3Cd4
Source: the Alexandria database
Functional: GGA-PBE
Structure: optimized geometry

a = 16.483 Å, b = 16.483 Å, c = 16.483 Å
α = 168.25°, β = 168.25°, γ = 16.65°
Element x y z (fractional)
Tl 0.000 0.000 0.000
Tl 0.708 0.708 0.000
Tl 0.292 0.292 0.000
Cd 0.865 0.865 0.000
Cd 0.135 0.135 0.000
Cd 0.574 0.574 0.000
Cd 0.426 0.426 0.000

Computed properties:
Its formation energy is 0.03 eV/atom. For the energy above the most stable polymorph in this dataset, the calculation gives 0 meV/atom.

***

[8]
Compound: HfNb2MoH
Source: the Alexandria database
Functional: GGA-PBE
Structure: optimized geometry

a = 4.631 Å, b = 4.631 Å, c = 3.544 Å
α = 90.00°, β = 90.00°, γ = 90.00°
Element x y z (fractional)
H 0.000 0.000 0.000
Mo 0.000 0.000 0.500
Hf 0.500 0.500 0.500
Nb 0.000 0.500 0.000
Nb 0.500 0.000 0.000

Computed properties:
For the energy above the most stable polymorph in this dataset, the calculation gives 0 meV/atom.

***

[9]
Compound: HfSeIO2
Source: the Alexandria database
Functional: GGA-PBE
Structure: optimized geometry

a = 4.054 Å, b = 4.054 Å, c = 6.510 Å
α = 90.00°, β = 90.00°, γ = 90.00°
Element x y z (fractional)
I 0.000 0.000 0.500
Hf 0.000 0.000 0.000
O 0.000 0.500 0.000
O 0.500 0.000 0.000
Se 0.500 0.500 0.500

Computed properties:
For the energy above the most stable polymorph in this dataset, the calculation gives 0 meV/atom. The uncorrected formation energy is -1370 meV per atom.

***

[10]
Compound: Y2FeS2
Source: the Alexandria database
Functional: GGA-PBE
Structure: optimized geometry

a = 7.226 Å, b = 7.226 Å, c = 3.641 Å
α = 90.00°, β = 90.00°, γ = 90.00°
Element x y z (fractional)
Y 0.162 0.662 0.500
Y 0.662 0.838 0.500
Y 0.838 0.338 0.500
Y 0.338 0.162 0.500
S 0.352 0.852 0.000
S 0.852 0.648 0.000
S 0.648 0.148 0.000
S 0.148 0.352 0.000
Fe 0.000 0.000 0.000
Fe 0.500 0.500 0.000

Computed properties:
For the energy above the most stable polymorph in this dataset, the calculation gives 0 meV/atom. The uncorrected formation energy is -1132 meV per atom.

***

[11]
Compound: InSb2Pb
Source: the Alexandria database
Functional: GGA-PBE
Structure: optimized geometry

a = 6.371 Å, b = 6.371 Å, c = 6.371 Å
α = 143.75°, β = 129.16°, γ = 64.03°
Element x y z (fractional)
In 0.515 0.515 0.000
Pb 0.245 0.745 0.500
Sb 0.975 0.975 0.000
Sb 0.765 0.265 0.500

Computed properties:
For the energy above the most stable polymorph in this dataset, the calculation gives 23 meV/atom. The uncorrected formation energy is 73 meV per atom.

***

[12]
Compound: B2SCl
Source: the Alexandria database
Functional: GGA-PBE
Structure: optimized geometry

a = 4.138 Å, b = 4.138 Å, c = 4.138 Å
α = 60.00°, β = 60.00°, γ = 60.00°
Element x y z (fractional)
S 0.000 0.000 0.000
B 0.250 0.250 0.250
B 0.750 0.750 0.750
Cl 0.500 0.500 0.500

Computed properties:
For the energy above the most stable polymorph in this dataset, the calculation gives 732 meV/atom. The uncorrected formation energy is 1870 meV per atom.